VASP calculation (PBE with a Hubbard U) on a relaxed structure of SiNiIr2F.

volume	17.2	Å³/atom
electronic total energy	-4.124	eV per atom
N(E_F)	6.5	states/eV/cell

Cell lengths 4.555, 4.555, 4.148 Å; angles 90.00, 90.00, 90.00 degrees
Space group P4/mmm (No. 123)
One atom of each set of equivalent atoms:
Si 0.000 0.000 0.000
Ni 0.000 0.000 0.500
Ir 0.000 0.500 0.500
F 0.500 0.500 0.000